DFT (PBE) results for NaTbHgSe3 after structural relaxation.

Unit cell a=11.135 b=4.172 c=13.920 alpha=90.00 beta=90.00 gamma=90.00
Sites, in units of the cell vectors:
Se1 0.428 0.750 0.605
Se2 0.965 0.250 0.384
Se3 0.465 0.250 0.116
Se4 0.765 0.750 0.160
Se5 0.035 0.750 0.616
Se6 0.735 0.250 0.660
Se7 0.928 0.750 0.895
Se8 0.535 0.750 0.884
Se9 0.572 0.250 0.395
Se10 0.235 0.250 0.840
Se11 0.072 0.250 0.105
Se12 0.265 0.750 0.340
Tb1 0.486 0.250 0.742
Tb2 0.014 0.750 0.242
Tb3 0.986 0.250 0.758
Tb4 0.514 0.750 0.258
Na1 0.718 0.250 0.993
Na2 0.218 0.250 0.507
Na3 0.782 0.750 0.493
Na4 0.282 0.750 0.007
Hg1 0.238 0.750 0.714
Hg2 0.262 0.250 0.214
Hg3 0.738 0.750 0.786
Hg4 0.762 0.250 0.286

The calculated density is 6.36 g/cm3. The total magnetization comes out at 0.013 μB/cell. As for the symmetry: No. 62. The total DFT energy (no corrections) comes out at -93.4 eV per cell.

DFT (PBE) results for Nd3Mg3In2Hg after structural relaxation.

Unit cell a=7.676 b=7.676 c=4.737 alpha=90.00 beta=90.00 gamma=120.00
Sites, in units of the cell vectors:
In1 0.667 0.333 0.500
In2 0.333 0.667 0.500
Mg1 0.761 0.761 0.500
Mg2 0.239 0.000 0.500
Mg3 0.000 0.239 0.500
Nd1 0.000 0.583 0.000
Nd2 0.417 0.417 0.000
Nd3 0.583 0.000 0.000
Hg1 0.000 0.000 0.000

The calculated density is 6.43 g/cm3. The total magnetization comes out at 0.000 μB/cell. As for the symmetry: No. 189. The total DFT energy (no corrections) comes out at -28.6 eV per cell.

DFT (PBE) results for Li2ZrF5 after structural relaxation.

Unit cell a=5.492 b=5.492 c=6.840 alpha=107.26 beta=107.26 gamma=55.82
Sites, in units of the cell vectors:
F1 0.260 0.740 0.250
F2 0.239 0.550 0.530
F3 0.634 0.970 0.355
F4 0.030 0.366 0.145
F5 0.740 0.260 0.750
F6 0.970 0.634 0.855
F7 0.550 0.239 0.030
F8 0.761 0.450 0.470
F9 0.366 0.030 0.645
F10 0.450 0.761 0.970
Li1 0.342 0.384 0.768
Li2 0.658 0.616 0.232
Li3 0.616 0.658 0.732
Li4 0.384 0.342 0.268
Zr1 0.000 0.000 0.000
Zr2 0.000 0.000 0.500

The calculated density is 4.13 g/cm3. The total magnetization comes out at 0.006 μB/cell. As for the symmetry: No. 15. The total DFT energy (no corrections) comes out at -92.0 eV per cell.

DFT (PBE) results for Y3ErSc2Te2Au after structural relaxation.

Unit cell a=3.981 b=8.188 c=8.188 alpha=120.54 beta=90.00 gamma=90.00
Sites, in units of the cell vectors:
Te1 0.500 0.666 0.329
Te2 0.500 0.329 0.666
Y1 0.000 0.396 0.396
Y2 0.000 0.000 0.597
Y3 0.000 0.597 0.000
Sc1 0.500 0.246 0.996
Sc2 0.500 0.996 0.246
Er1 0.500 0.756 0.756
Au1 0.000 0.014 0.014

The calculated density is 7.05 g/cm3. The total magnetization comes out at 0.039 μB/cell. As for the symmetry: No. 38. The total DFT energy (no corrections) comes out at -53.5 eV per cell.

DFT (PBE) results for Pr2Nd2CIBr2Cl2 after structural relaxation.

Unit cell a=9.396 b=9.396 c=8.773 alpha=103.86 beta=103.86 gamma=24.64
Sites, in units of the cell vectors:
Br1 0.170 0.170 0.838
Br2 0.830 0.830 0.162
Nd1 0.000 0.000 0.803
Nd2 0.000 0.000 0.197
Pr1 0.358 0.358 0.922
Pr2 0.642 0.642 0.078
Cl1 0.840 0.840 0.684
Cl2 0.160 0.160 0.316
C1 0.500 0.500 0.000
I1 0.500 0.500 0.500

The calculated density is 4.99 g/cm3. The total magnetization comes out at 0.259 μB/cell. As for the symmetry: No. 12. The total DFT energy (no corrections) comes out at -51.6 eV per cell.

DFT (PBE) results for Li2NbCu after structural relaxation.

Unit cell a=4.288 b=4.288 c=4.288 alpha=60.00 beta=60.00 gamma=60.00
Sites, in units of the cell vectors:
Nb1 0.500 0.500 0.500
Cu1 0.250 0.250 0.250
Li1 0.750 0.750 0.750
Li2 0.000 0.000 0.000

The calculated density is 5.07 g/cm3. The total magnetization comes out at 0.001 μB/cell. As for the symmetry: No. 216. The total DFT energy (no corrections) comes out at -16.3 eV per cell.